Entry 1:
Density functional theory data (meta-GGA SCAN) for Sc3NbS at its PBEsol-relaxed geometry.

Values from the calculation:
- SG = Pm-3m, No. 221
- formation energy (no corrections) (eV per atom) = -0.40
- density of states at the Fermi level (states/eV per atom) = 1.008

Unit cell a=4.738 b=4.738 c=4.738 alpha=90.00 beta=90.00 gamma=90.00
Element x y z (fractional)
1 Nb 0.500 0.500 0.500
2 Sc 0.000 0.500 0.000
3 Sc 0.500 0.000 0.000
4 S 0.000 0.000 0.000
5 Sc 0.000 0.000 0.500

Entry 2:
Density functional theory data (meta-GGA SCAN) for Mn4SiBr at its PBEsol-relaxed geometry.

Values from the calculation:
- SG = F-43m, No. 216
- formation energy (no corrections) (eV per atom) = 0.69
- density of states at the Fermi level (states/eV per atom) = 0.528

Unit cell a=4.758 b=4.758 c=4.758 alpha=60.00 beta=60.00 gamma=60.00
Element x y z (fractional)
1 Mn 0.375 0.375 0.874
2 Mn 0.874 0.375 0.375
3 Si 0.750 0.750 0.750
4 Mn 0.375 0.874 0.375
5 Br 0.000 0.000 0.000
6 Mn 0.375 0.375 0.375

Calculated values (eV/atom) of VASP energy for the records, taken in order: -17.50; -16.40.
Calculated values (Bohr magnetons per cell) of spin magnetization for the records, taken in order: 0.00; 10.12.